Entry 1:
{
  "formula": "La3SbO7",
  "functional": "PBEsol",
  "state": "optimized geometry",
  "lattice": [[5.550, -3.780, 0.000], [5.550, 3.780, 0.000], [0.000, 0.000, 7.729]],
  "species": ["La", "La", "La", "La", "La", "La", "Sb", "Sb", "O", "O", "O", "O", "O", "O", "O", "O", "O", "O", "O", "O", "O", "O"],
  "frac_coords": [[0.000, 0.000, 0.000], [0.000, 0.000, 0.500], [0.068, 0.476, 0.750], [0.476, 0.068, 0.250], [0.524, 0.932, 0.750], [0.932, 0.524, 0.250], [0.500, 0.500, 0.000], [0.500, 0.500, 0.500], [0.107, 0.154, 0.250], [0.154, 0.107, 0.750], [0.189, 0.561, 0.035], [0.189, 0.561, 0.465], [0.419, 0.581, 0.750], [0.439, 0.811, 0.035], [0.439, 0.811, 0.465], [0.561, 0.189, 0.535], [0.561, 0.189, 0.965], [0.581, 0.419, 0.250], [0.811, 0.439, 0.535], [0.811, 0.439, 0.965], [0.846, 0.893, 0.250], [0.893, 0.846, 0.750]],
  "dos_at_fermi_per_ev_atom": 0.000,
  "raw_formation_energy_ev_per_atom": -2.95
}


Entry 2:
{
  "formula": "Sr2LaSbO6",
  "functional": "PBEsol",
  "state": "optimized geometry",
  "lattice": [[0.000, 4.273, 4.273], [4.273, 0.000, 4.273], [4.273, 4.273, 0.000]],
  "species": ["Sr", "Sr", "La", "Sb", "O", "O", "O", "O", "O", "O"],
  "frac_coords": [[0.250, 0.250, 0.250], [0.750, 0.750, 0.750], [0.000, 0.000, 0.000], [0.500, 0.500, 0.500], [0.268, 0.268, 0.732], [0.268, 0.732, 0.268], [0.268, 0.732, 0.732], [0.732, 0.268, 0.268], [0.732, 0.268, 0.732], [0.732, 0.732, 0.268]],
  "dos_at_fermi_per_ev_atom": 0.000,
  "raw_formation_energy_ev_per_atom": -2.56
}


Entry 3:
{
  "formula": "LaSbTe2O",
  "functional": "PBEsol",
  "state": "optimized geometry",
  "lattice": [[6.017, 0.000, 0.000], [0.000, 6.017, 0.000], [0.000, 0.000, 6.139]],
  "species": ["La", "Sb", "Te", "Te", "O"],
  "frac_coords": [[0.000, 0.000, 0.000], [0.000, 0.000, 0.500], [0.000, 0.500, 0.000], [0.500, 0.000, 0.000], [0.500, 0.500, 0.500]],
  "dos_at_fermi_per_ev_atom": 2.094,
  "raw_formation_energy_ev_per_atom": 0.75
}


Entry 4:
{
  "formula": "LaZnSbO",
  "functional": "PBEsol",
  "state": "optimized geometry",
  "lattice": [[4.188, 0.000, 0.000], [0.000, 4.188, 0.000], [0.000, 0.000, 9.416]],
  "species": ["La", "La", "Zn", "Zn", "Sb", "Sb", "O", "O"],
  "frac_coords": [[0.250, 0.250, 0.122], [0.750, 0.750, 0.878], [0.250, 0.750, 0.500], [0.750, 0.250, 0.500], [0.250, 0.250, 0.682], [0.750, 0.750, 0.318], [0.250, 0.750, 0.000], [0.750, 0.250, 0.000]],
  "dos_at_fermi_per_ev_atom": 0.048,
  "raw_formation_energy_ev_per_atom": -1.77
}


Entry 5:
{
  "formula": "LaScO3",
  "functional": "PBEsol",
  "state": "optimized geometry",
  "lattice": [[5.770, 0.000, 0.000], [0.000, 8.046, 0.000], [0.000, 0.000, 5.643]],
  "species": ["La", "La", "La", "La", "Sc", "Sc", "Sc", "Sc", "O", "O", "O", "O", "O", "O", "O", "O", "O", "O", "O", "O"],
  "frac_coords": [[0.047, 0.250, 0.012], [0.453, 0.750, 0.512], [0.547, 0.250, 0.488], [0.953, 0.750, 0.988], [0.000, 0.000, 0.500], [0.000, 0.500, 0.500], [0.500, 0.000, 0.000], [0.500, 0.500, 0.000], [0.035, 0.750, 0.399], [0.204, 0.554, 0.796], [0.204, 0.946, 0.796], [0.296, 0.054, 0.296], [0.296, 0.446, 0.296], [0.465, 0.250, 0.899], [0.535, 0.750, 0.101], [0.704, 0.554, 0.704], [0.704, 0.946, 0.704], [0.796, 0.054, 0.204], [0.796, 0.446, 0.204], [0.965, 0.250, 0.601]],
  "dos_at_fermi_per_ev_atom": 0.000,
  "raw_formation_energy_ev_per_atom": -3.58
}


Entry 6:
{
  "formula": "La2Sc2O5",
  "functional": "PBEsol",
  "state": "optimized geometry",
  "lattice": [[-7.994, 2.851, 2.816], [7.994, -2.851, 2.816], [7.994, 2.851, -2.816]],
  "species": ["La", "La", "La", "La", "Sc", "Sc", "Sc", "Sc", "O", "O", "O", "O", "O", "O", "O", "O", "O", "O"],
  "frac_coords": [[0.012, 0.129, 0.140], [0.012, 0.371, 0.383], [0.988, 0.629, 0.617], [0.988, 0.871, 0.860], [0.478, 0.751, 0.228], [0.501, 0.001, 0.500], [0.501, 0.501, 0.000], [0.523, 0.251, 0.772], [0.001, 0.000, 0.500], [0.001, 0.217, 0.716], [0.001, 0.784, 0.284], [0.403, 0.627, 0.027], [0.403, 0.876, 0.276], [0.500, 0.284, 0.284], [0.500, 0.500, 0.500], [0.500, 0.717, 0.716], [0.601, 0.127, 0.724], [0.601, 0.376, 0.973]],
  "dos_at_fermi_per_ev_atom": 0.110,
  "raw_formation_energy_ev_per_atom": -3.23
}